Compound: Tb2YErSe5
Source: Alexandria
Functional: GGA-PBE
Structure: relaxed

a = 5.109 Å, b = 5.109 Å, c = 10.693 Å
α = 90.00°, β = 90.00°, γ = 90.00°
Sites, in units of the cell vectors:
1 Tb 0.000 0.000 0.163
2 Tb 0.000 0.000 0.837
3 Y 0.500 0.500 0.500
4 Er 0.500 0.500 0.000
5 Se 0.000 0.000 0.500
6 Se 0.000 0.500 0.000
7 Se 0.500 0.000 0.000
8 Se 0.500 0.500 0.253
9 Se 0.500 0.500 0.747

Computed properties:
- energy relative to the elements, uncorrected (eV/atom) = -1.1589
- magnetization (μB per formula unit) = 0.03



Compound: AcNd6Tl3
Source: Alexandria
Functional: GGA-PBE
Structure: relaxed

a = 8.845 Å, b = 8.845 Å, c = 8.903 Å
α = 90.00°, β = 90.00°, γ = 94.27°
Sites, in units of the cell vectors:
1 Ac 0.188 0.812 0.500
2 Ac 0.812 0.188 0.000
3 Nd 0.069 0.429 0.301
4 Nd 0.112 0.241 0.658
5 Nd 0.241 0.112 0.158
6 Nd 0.259 0.741 0.079
7 Nd 0.429 0.069 0.801
8 Nd 0.475 0.525 0.703
9 Nd 0.525 0.475 0.203
10 Nd 0.571 0.931 0.301
11 Nd 0.741 0.259 0.579
12 Nd 0.759 0.888 0.658
13 Nd 0.888 0.759 0.158
14 Nd 0.931 0.571 0.801
15 Tl 0.067 0.933 0.856
16 Tl 0.225 0.401 0.958
17 Tl 0.401 0.225 0.458
18 Tl 0.599 0.775 0.958
19 Tl 0.775 0.599 0.458
20 Tl 0.933 0.067 0.356

Computed properties:
- energy relative to the elements (meV/atom) = -168
- magnetization (μB per formula unit) = 0.00